Here is a geometry-optimized FeRuI2O structure from Alexandria via LeMat-Bulk. Energies are from PBE with a Hubbard U.

Computed properties:
The value obtained for the total moment is 8.0 μB per cell. Its energy above the most stable polymorph in this dataset is 320 meV/atom. The calculation puts the energy at -20.83 eV for the cell shown. For the density, the calculation gives 5.9 g/cm³.

a = 5.718 Å, b = 5.718 Å, c = 3.653 Å
α = 90.00°, β = 90.00°, γ = 90.00°
Element x y z (fractional)
1 O 0.000 0.000 0.500
2 I 0.000 0.500 0.000
3 I 0.500 0.000 0.000
4 Fe 0.000 0.000 0.000
5 Ru 0.500 0.500 0.500